[1]
VASP calculation (PBE-GGA) on Th3Sc3MnTl2 after structural relaxation.

abc: 3.6458 8.5669 8.5669
angles: 120.00 90.00 90.00
Fractional coordinates of all 9 atoms:
Mn1 0.0000 0.0000 0.0000
Th1 0.5000 0.7573 0.0000
Th2 0.5000 0.0000 0.7573
Th3 0.5000 0.2427 0.2427
Sc1 0.0000 0.0000 0.3952
Sc2 0.0000 0.6048 0.6048
Sc3 0.0000 0.3952 0.0000
Tl1 0.5000 0.3333 0.6667
Tl2 0.5000 0.6667 0.3333

Properties
symmetry = P-62m, No. 189
energy of formation = -0.9 eV/f.u.
E_tot = -56.1 eV per cell

=====

[2]
VASP calculation (PBE-GGA) on Sr2AcO after structural relaxation.

abc: 3.4851 3.4851 10.0497
angles: 90.00 90.00 90.00
Fractional coordinates of all 4 atoms:
O1 0.5000 0.5000 0.0000
Sr1 0.0000 0.0000 0.8453
Sr2 0.0000 0.0000 0.1547
Ac1 0.5000 0.5000 0.5000

Properties
symmetry = P4/mmm, No. 123
energy relative to the elements, uncorrected = -0.842 eV/atom
E above lowest polymorph = 288 meV per atom
E_tot = -15.8 eV per cell

=====

[3]
VASP calculation (PBE-GGA) on RbIn2Ge2 after structural relaxation.

abc: 8.9959 8.9959 3.3834
angles: 90.00 90.00 90.00
Fractional coordinates of all 10 atoms:
Ge1 0.6368 0.1368 0.0000
Ge2 0.3632 0.8632 0.0000
Ge3 0.8632 0.6368 0.0000
Ge4 0.1368 0.3632 0.0000
In1 0.1426 0.6426 0.5000
In2 0.8574 0.3574 0.5000
In3 0.3574 0.1426 0.5000
In4 0.6426 0.8574 0.5000
Rb1 0.0000 0.0000 0.0000
Rb2 0.5000 0.5000 0.0000

Properties
symmetry = P4/mbm, No. 127
energy of formation = 0.5 eV/f.u.
E above lowest polymorph = 168 meV per atom
E_tot = -30.4 eV per cell

=====

[4]
VASP calculation (PBE-GGA) on Na2FeCl4 after structural relaxation.

abc: 3.7987 6.9109 11.9473
angles: 90.00 90.00 90.00
Fractional coordinates of all 14 atoms:
Cl1 0.5000 0.2660 0.5437
Cl2 0.0000 0.8822 0.1925
Cl3 0.5000 0.2340 0.0437
Cl4 0.0000 0.3822 0.3075
Cl5 0.0000 0.6178 0.6925
Cl6 0.5000 0.7340 0.4563
Cl7 0.5000 0.7660 0.9563
Cl8 0.0000 0.1178 0.8075
Na1 0.5000 0.0844 0.3215
Na2 0.5000 0.5844 0.1785
Na3 0.5000 0.9156 0.6785
Na4 0.5000 0.4156 0.8215
Fe1 0.0000 0.0000 0.0000
Fe2 0.0000 0.5000 0.5000

Properties
symmetry = Pbam, No. 55
energy relative to the elements, uncorrected = -1.303 eV/atom
E above lowest polymorph = 0 meV per atom
E_tot = -55.2 eV per cell